Record 1
Here is a relaxed SmTlFeSe3 crystal from OQMD. Energies are from PBE.

Geometry as extended XYZ:
```
24
Lattice="11.5245 0.0000 0.0000 0.0000 4.3064 0.0000 0.0000 0.0000 12.5706" Properties=species:S:1:pos:R:3 pbc="T T T"
Se 10.2898 2.1532 7.0222
Se 6.9969 0.0000 0.7369
Fe 2.9107 2.1532 10.0015
Fe 8.6138 0.0000 2.5691
Se 9.0301 0.0000 10.0406
Se 6.3094 2.1532 8.3946
Se 0.5471 2.1532 10.4613
Sm 5.9962 0.0000 10.3910
Se 2.4944 2.1532 2.5300
Fe 2.8515 0.0000 3.7162
Sm 0.2340 0.0000 8.4649
Tl 9.5602 2.1532 12.5190
Se 8.2566 2.1532 3.7553
Se 5.2151 0.0000 4.1760
Sm 5.5283 2.1532 2.1796
Tl 7.7265 0.0000 6.2337
Se 1.2347 0.0000 5.5484
Fe 8.6730 2.1532 8.8544
Se 10.9774 0.0000 2.1093
Se 4.5276 2.1532 11.8337
Tl 3.7980 2.1532 6.3369
Se 3.2679 0.0000 8.8153
Tl 1.9642 0.0000 0.0516
Sm 11.2905 2.1532 4.1057
```

Summary:
Magnetization = 16.0 μB/cell
Theoretical density = 6.893 g/cm3
Crystal system = orthorhombic
Space group = No. 62

Record 2
Here is a relaxed SmTlFeSe3 crystal from OQMD. Energies are from PBE.

Geometry as extended XYZ:
```
24
Lattice="10.0465 0.0000 0.0000 0.0000 4.2097 0.0000 0.0000 0.0000 15.5940" Properties=species:S:1:pos:R:3 pbc="T T T"
Se 2.8769 1.0524 11.3067
Sm 8.3059 3.1573 6.8705
Se 2.1464 3.1573 3.5098
Fe 1.5533 3.1573 5.7951
Fe 8.4932 1.0524 9.7989
Se 1.7205 1.0524 15.2695
Tl 4.6434 1.0524 4.9668
Se 7.1697 3.1573 4.2872
Sm 1.7407 1.0524 8.7235
Sm 3.2826 3.1573 0.9265
Fe 3.4700 1.0524 13.5921
Se 7.9001 1.0524 12.0842
Sm 6.7639 1.0524 14.6674
Se 9.8154 3.1573 9.4771
Se 3.3027 3.1573 7.4725
Tl 5.4031 3.1573 10.6272
Se 5.2544 1.0524 1.6801
Fe 6.5766 3.1573 2.0019
Se 8.3260 3.1573 0.3244
Se 6.7438 1.0524 8.1214
Tl 0.3798 3.1573 12.7638
Se 0.2311 1.0524 6.1169
Se 4.7921 3.1573 13.9139
Tl 9.6667 1.0524 2.8302
```

Summary:
Magnetization = 16.0 μB/cell
Theoretical density = 6.521 g/cm3
Crystal system = orthorhombic
Space group = No. 62

Table of relative energy among the computed polymorphs (eV/atom), in record order: 0.042, 0.065